# InReBr2 PBE relaxed
data_InReBr2
_cell_length_a 3.207
_cell_length_b 3.098
_cell_length_c 9.989
_cell_angle_alpha 89.97
_cell_angle_beta 90.00
_cell_angle_gamma 90.00
_symmetry_space_group_name_H-M 'P 1'
_symmetry_Int_Tables_number 1
_symmetry_space_group_name_Hall 'P 1'
loop_
_atom_site_label
_atom_site_type_symbol
_atom_site_fract_x
_atom_site_fract_y
_atom_site_fract_z
Re1 Re 0.500 0.750 0.750
Br1 Br 0.000 0.750 0.556
Br2 Br 0.000 0.750 0.944
In1 In 0.500 0.250 0.250
# Density of states at the Fermi level ... 0.82 states/eV per atom
# ρ ... 7.71 g cm⁻³
# Energy above the lowest structure with this stoichiometry ... 1.31 eV/f.u.